The following is a DFT calculation (PBE-GGA) of crystalline KTiTlF6 at its relaxed geometry.

Unit cell a=6.2856 b=6.2856 c=5.2789 alpha=90.02 beta=90.02 gamma=120.08
With the nearest neighbours (Å) after each atom.
Fractional coordinates of all 9 atoms:
1 K 0.0000 0.0000 0.0000  6 F 2.63
2 Ti 0.6669 0.3331 0.0000  6 F 1.90
3 Tl 0.3334 0.6666 0.5000  6 F 2.86-2.87
4 F 0.4172 0.0829 0.7968  1 Ti 1.90
5 F 0.4181 0.3337 0.2036  1 Ti 1.90
6 F 0.6663 0.5819 0.7964  1 Ti 1.90
7 F 0.6667 0.0838 0.2038  1 Ti 1.90
8 F 0.9162 0.3333 0.7962  1 Ti 1.90
9 F 0.9171 0.5828 0.2032  1 Ti 1.90

Values from the calculation:
Formation energy from raw total energies   -3.009 eV per atom
DFT total energy   -5.5184 eV per atom
V   180 Å³ per cell

---

The following is a DFT calculation (PBE-GGA) of crystalline K2TiTlF6 at its relaxed geometry.

Unit cell a=6.5241 b=6.5241 c=6.5241 alpha=60.00 beta=60.00 gamma=60.00
With the nearest neighbours (Å) after each atom.
Fractional coordinates of all 10 atoms:
1 K 0.2500 0.2500 0.2500  12 F 3.28
2 K 0.7500 0.7500 0.7500  12 F 3.28
3 Ti 0.0000 0.0000 0.0000  6 F 1.99
4 Tl 0.5000 0.5000 0.5000  6 F 2.63
5 F 0.2153 0.2153 0.7847  1 Ti 1.99
6 F 0.2153 0.7847 0.2153  1 Ti 1.99
7 F 0.2153 0.7847 0.7847  1 Ti 1.99
8 F 0.7847 0.2153 0.2153  1 Ti 1.99
9 F 0.7847 0.2153 0.7847  1 Ti 1.99
10 F 0.7847 0.7847 0.2153  1 Ti 1.99

Values from the calculation:
Formation energy from raw total energies   -2.788 eV per atom
Polymorph energy (0 for the lowest one)   34 meV per atom
DFT total energy   -5.1564 eV per atom
V   196 Å³ per cell

---

The following is a DFT calculation (PBE-GGA) of crystalline K2TiTlF8 at its relaxed geometry.

Unit cell a=5.6181 b=5.6181 c=7.9259 alpha=90.00 beta=90.00 gamma=120.00
With the nearest neighbours (Å) after each atom.
Fractional coordinates of all 12 atoms:
1 K 0.3333 0.6667 0.3364  7 F 2.58-2.82
2 K 0.6667 0.3333 0.6636  7 F 2.58-2.82
3 Ti 0.0000 0.0000 0.5000  6 F 1.89
4 Tl 0.0000 0.0000 0.0000  12 F 3.24
5 F 0.1567 0.3135 0.6398  1 Ti 1.89
6 F 0.1567 0.8433 0.6398  1 Ti 1.89
7 F 0.3135 0.1567 0.3602  1 Ti 1.89
8 F 0.3333 0.6667 0.0108  1 K 2.58
9 F 0.6667 0.3333 0.9892  1 K 2.58
10 F 0.6865 0.8433 0.6398  1 Ti 1.89
11 F 0.8433 0.1567 0.3602  1 Ti 1.89
12 F 0.8433 0.6865 0.3602  1 Ti 1.89

Values from the calculation:
Formation energy from raw total energies   -2.648 eV per atom
DFT total energy   -4.9331 eV per atom
V   217 Å³ per cell

---

The following is a DFT calculation (PBE-GGA) of crystalline KTiZn2F8 at its relaxed geometry.

Unit cell a=8.4367 b=8.4367 c=8.4367 alpha=36.25 beta=36.25 gamma=36.25
With the nearest neighbours (Å) after each atom.
Fractional coordinates of all 12 atoms:
1 K 0.0000 0.0000 0.0000  12 F 3.04-3.31
2 Ti 0.5000 0.5000 0.5000  6 F 1.99
3 Zn 0.2465 0.2465 0.2465  4 F 1.86-1.96
4 Zn 0.7535 0.7535 0.7535  4 F 1.86-1.96
5 F 0.1435 0.7580 0.4502  1 Zn 1.96, 1 Ti 1.99
6 F 0.2420 0.5498 0.8565  1 Zn 1.96, 1 Ti 1.99
7 F 0.3252 0.3252 0.3252  1 Zn 1.86
8 F 0.4502 0.1435 0.7580  1 Zn 1.96, 1 Ti 1.99
9 F 0.5498 0.8565 0.2420  1 Zn 1.96, 1 Ti 1.99
10 F 0.6748 0.6748 0.6748  1 Zn 1.86
11 F 0.7580 0.4502 0.1435  1 Zn 1.96, 1 Ti 1.99
12 F 0.8565 0.2420 0.5498  1 Zn 1.96, 1 Ti 1.99

Values from the calculation:
Formation energy from raw total energies   -2.653 eV per atom
DFT total energy   -4.8620 eV per atom
V   188 Å³ per cell

---

The following is a DFT calculation (PBE-GGA) of crystalline KTiZnF6 at its relaxed geometry.

Unit cell a=5.5228 b=5.5228 c=11.1518 alpha=90.00 beta=90.00 gamma=120.00
With the nearest neighbours (Å) after each atom.
Fractional coordinates of all 18 atoms:
1 K 0.0000 0.0000 0.0000  6 F 2.71
2 K 0.0000 0.0000 0.5000  6 F 2.71
3 Ti 0.3333 0.6667 0.2500  6 F 2.00
4 Ti 0.6667 0.3333 0.7500  6 F 2.00
5 Zn 0.3333 0.6667 0.7500  6 F 2.07
6 Zn 0.6667 0.3333 0.2500  6 F 2.07
7 F 0.0101 0.3850 0.1532  1 Ti 2.00, 1 Zn 2.07
8 F 0.0101 0.6251 0.3468  1 Ti 2.00, 1 Zn 2.07
9 F 0.3749 0.3850 0.3468  1 Ti 2.00, 1 Zn 2.07
10 F 0.3749 0.9899 0.1532  1 Ti 2.00, 1 Zn 2.07
11 F 0.3850 0.0101 0.6532  1 Ti 2.00, 1 Zn 2.07
12 F 0.3850 0.3749 0.8468  1 Ti 2.00, 1 Zn 2.07
13 F 0.6150 0.6251 0.1532  1 Ti 2.00, 1 Zn 2.07
14 F 0.6150 0.9899 0.3468  1 Ti 2.00, 1 Zn 2.07
15 F 0.6251 0.0101 0.8468  1 Ti 2.00, 1 Zn 2.07
16 F 0.6251 0.6150 0.6532  1 Ti 2.00, 1 Zn 2.07
17 F 0.9899 0.3749 0.6532  1 Ti 2.00, 1 Zn 2.07
18 F 0.9899 0.6150 0.8468  1 Ti 2.00, 1 Zn 2.07

Values from the calculation:
Formation energy from raw total energies   -2.899 eV per atom
DFT total energy   -5.2874 eV per atom
V   295 Å³ per cell

---

The following is a DFT calculation (PBE-GGA) of crystalline K2TlF6 at its relaxed geometry.

Unit cell a=7.0529 b=7.0529 c=4.1083 alpha=102.89 beta=102.89 gamma=53.30
With the nearest neighbours (Å) after each atom.
Fractional coordinates of all 9 atoms:
1 K 0.1667 0.1667 0.1645  8 F 2.72-2.76
2 K 0.8333 0.8333 0.8355  8 F 2.72-2.76
3 Tl 0.5000 0.5000 0.5000  8 F 2.22-2.43
4 F 0.1384 0.5812 0.3549  1 Tl 2.22
5 F 0.2936 0.7064 0.0000  2 Tl 2.43, 3 F 2.56-2.61
6 F 0.4188 0.8616 0.6451  1 Tl 2.22
7 F 0.5812 0.1384 0.3549  1 Tl 2.22
8 F 0.7064 0.2936 0.0000  2 Tl 2.43, 3 F 2.56-2.61
9 F 0.8616 0.4188 0.6451  1 Tl 2.22

Values from the calculation:
Formation energy from raw total energies   -2.065 eV per atom
Polymorph energy (0 for the lowest one)   0 meV per atom
DFT total energy   -3.8195 eV per atom
V   159 Å³ per cell

---

The following is a DFT calculation (PBE-GGA) of crystalline KTlF3 at its relaxed geometry.

Unit cell a=4.8820 b=4.8820 c=4.8820 alpha=90.00 beta=90.00 gamma=90.00
With the nearest neighbours (Å) after each atom.
Fractional coordinates of all 5 atoms:
1 K 0.0000 0.0000 0.0000  6 F 2.44
2 Tl 0.5000 0.5000 0.5000  12 F 3.45
3 F 0.0000 0.0000 0.5000  2 K 2.44
4 F 0.0000 0.5000 0.0000  2 K 2.44
5 F 0.5000 0.0000 0.0000  2 K 2.44

Values from the calculation:
Formation energy from raw total energies   -1.604 eV per atom
DFT total energy   -3.4199 eV per atom
V   116 Å³ per cell

---

The following is a DFT calculation (PBE-GGA) of crystalline KTl2F8 at its relaxed geometry.

Unit cell a=6.5572 b=6.5572 c=4.2648 alpha=92.58 beta=92.58 gamma=116.96
With the nearest neighbours (Å) after each atom.
Fractional coordinates of all 11 atoms:
1 K 0.0000 0.0000 0.0000  12 F 2.85-3.01
2 Tl 0.3107 0.6893 0.5000  6 F 2.18-2.38
3 Tl 0.6893 0.3107 0.5000  6 F 2.18-2.38
4 F 0.0616 0.3331 0.5326  2 Tl 2.18-2.38
5 F 0.2546 0.7454 0.0000  2 Tl 2.22
6 F 0.3331 0.0616 0.5326  2 Tl 2.18-2.38
7 F 0.4320 0.4320 0.1965  1 F 1.99
8 F 0.5680 0.5680 0.8035  1 F 1.99
9 F 0.6669 0.9384 0.4674  2 Tl 2.18-2.38
10 F 0.7454 0.2546 0.0000  2 Tl 2.22
11 F 0.9384 0.6669 0.4674  2 Tl 2.18-2.38

Values from the calculation:
Formation energy from raw total energies   -1.850 eV per atom
DFT total energy   -3.7412 eV per atom
V   163 Å³ per cell

---

The following is a DFT calculation (PBE-GGA) of crystalline K2TlF4 at its relaxed geometry.

Unit cell a=6.4635 b=6.4635 c=7.2335 alpha=119.96 beta=119.96 gamma=31.94
With the nearest neighbours (Å) after each atom.
Fractional coordinates of all 7 atoms:
1 K 0.1494 0.1494 0.1877  7 F 2.73-2.85
2 K 0.8506 0.8506 0.8123  7 F 2.73-2.85
3 Tl 0.5000 0.5000 0.5000  6 F 2.33-2.49
4 F 0.1591 0.1591 0.5841  2 Tl 2.49, 2 K 2.73
5 F 0.4595 0.4595 0.1475  1 Tl 2.33
6 F 0.5405 0.5405 0.8525  1 Tl 2.33
7 F 0.8409 0.8409 0.4159  2 Tl 2.49, 2 K 2.73

Values from the calculation:
Formation energy from raw total energies   -2.301 eV per atom
Polymorph energy (0 for the lowest one)   0 meV per atom
DFT total energy   -4.0222 eV per atom
V   137 Å³ per cell

---

The following is a DFT calculation (PBE-GGA) of crystalline KTlF4 at its relaxed geometry.

Unit cell a=7.1854 b=7.1854 c=5.7415 alpha=110.62 beta=110.62 gamma=111.41
With the nearest neighbours (Å) after each atom.
Fractional coordinates of all 12 atoms:
1 K 0.1375 0.8625 0.7500  6 F 2.66-2.72
2 K 0.8625 0.1375 0.2500  6 F 2.66-2.72
3 Tl 0.4029 0.5971 0.2500  6 F 2.12-2.30
4 Tl 0.5971 0.4029 0.7500  6 F 2.12-2.30
5 F 0.1152 0.5467 0.3049  1 Tl 2.12
6 F 0.2664 0.3241 0.7730  2 Tl 2.29-2.30
7 F 0.3241 0.2664 0.2730  2 Tl 2.29-2.30
8 F 0.4533 0.8848 0.1951  1 Tl 2.12
9 F 0.5467 0.1152 0.8049  1 Tl 2.12
10 F 0.6759 0.7336 0.7270  2 Tl 2.29-2.30
11 F 0.7336 0.6759 0.2270  2 Tl 2.29-2.30
12 F 0.8848 0.4533 0.6951  1 Tl 2.12

Values from the calculation:
Formation energy from raw total energies   -2.201 eV per atom
Polymorph energy (0 for the lowest one)   19 meV per atom
DFT total energy   -4.0256 eV per atom
V   215 Å³ per cell

---

The following is a DFT calculation (PBE-GGA) of crystalline KTlF2 at its relaxed geometry.

Unit cell a=7.3714 b=7.3714 c=7.3714 alpha=131.43 beta=131.43 gamma=71.13
With the nearest neighbours (Å) after each atom.
Fractional coordinates of all 8 atoms:
1 K 0.0000 0.0000 0.0000  4 F 2.59
2 K 0.7500 0.2500 0.5000  4 F 2.59
3 Tl 0.2500 0.7500 0.5000  4 F 2.64
4 Tl 0.5000 0.5000 0.0000  4 F 2.64
5 F 0.1172 0.6250 0.9922  2 K 2.59, 2 Tl 2.64
6 F 0.3750 0.3672 0.4922  2 K 2.59, 2 Tl 2.64
7 F 0.6328 0.1250 0.0078  2 K 2.59, 2 Tl 2.64
8 F 0.8750 0.8828 0.5078  2 K 2.59, 2 Tl 2.64

Values from the calculation:
Formation energy from raw total energies   -2.181 eV per atom
Polymorph energy (0 for the lowest one)   47 meV per atom
DFT total energy   -3.9821 eV per atom
V   220 Å³ per cell

---

The following is a DFT calculation (PBE-GGA) of crystalline KTlF5 at its relaxed geometry.

Unit cell a=8.3484 b=8.3484 c=5.9630 alpha=91.66 beta=91.66 gamma=147.01
With the nearest neighbours (Å) after each atom.
Fractional coordinates of all 14 atoms:
1 K 0.1796 0.8204 0.7500  8 F 2.69-3.01
2 K 0.8204 0.1796 0.2500  8 F 2.69-3.01
3 Tl 0.4364 0.5636 0.7500  6 F 2.19-2.28
4 Tl 0.5636 0.4364 0.2500  6 F 2.19-2.28
5 F 0.1536 0.8464 0.2500  2 F 2.24
6 F 0.2177 0.2798 0.4157  2 Tl 2.22-2.28
7 F 0.2408 0.5762 0.9701  1 Tl 2.19, 1 F 2.24
8 F 0.2798 0.2177 0.9157  2 Tl 2.22-2.28
9 F 0.4238 0.7592 0.5299  1 Tl 2.19, 1 F 2.24
10 F 0.5762 0.2408 0.4701  1 Tl 2.19, 1 F 2.24
11 F 0.7202 0.7823 0.0843  2 Tl 2.22-2.28
12 F 0.7592 0.4238 0.0299  1 Tl 2.19, 1 F 2.24
13 F 0.7823 0.7202 0.5843  2 Tl 2.22-2.28
14 F 0.8464 0.1536 0.7500  2 F 2.24

Values from the calculation:
Formation energy from raw total energies   -1.833 eV per atom
DFT total energy   -3.6641 eV per atom
V   225 Å³ per cell

---

What did the seventh record say?
The following is a DFT calculation (PBE-GGA) of crystalline KTlF3 at its relaxed geometry.

Unit cell a=4.8820 b=4.8820 c=4.8820 alpha=90.00 beta=90.00 gamma=90.00
With the nearest neighbours (Å) after each atom.
Fractional coordinates of all 5 atoms:
1 K 0.0000 0.0000 0.0000  6 F 2.44
2 Tl 0.5000 0.5000 0.5000  12 F 3.45
3 F 0.0000 0.0000 0.5000  2 K 2.44
4 F 0.0000 0.5000 0.0000  2 K 2.44
5 F 0.5000 0.0000 0.0000  2 K 2.44

Values from the calculation:
Formation energy from raw total energies   -1.604 eV per atom
DFT total energy   -3.4199 eV per atom
V   116 Å³ per cell

---

Copy entry 7 word for word.
The following is a DFT calculation (PBE-GGA) of crystalline KTlF3 at its relaxed geometry.

Unit cell a=4.8820 b=4.8820 c=4.8820 alpha=90.00 beta=90.00 gamma=90.00
With the nearest neighbours (Å) after each atom.
Fractional coordinates of all 5 atoms:
1 K 0.0000 0.0000 0.0000  6 F 2.44
2 Tl 0.5000 0.5000 0.5000  12 F 3.45
3 F 0.0000 0.0000 0.5000  2 K 2.44
4 F 0.0000 0.5000 0.0000  2 K 2.44
5 F 0.5000 0.0000 0.0000  2 K 2.44

Values from the calculation:
Formation energy from raw total energies   -1.604 eV per atom
DFT total energy   -3.4199 eV per atom
V   116 Å³ per cell